Record 1
A plane-wave DFT calculation with GGA-PBE was carried out for MgBeTl after structural relaxation.

Values from the calculation:
Crystal system ... trigonal
Offset from the most stable computed form ... 1.4 meV per atom
ΔE_f ... 175 meV/atom
D(E_F) ... 2.3 states/eV/cell
Electronic total energy ... -2.387 eV per atom
V ... 126.8 Å³/cell

Lattice parameters (Å, degrees): 3.758 3.758 10.370 90.00 90.00 120.00
Atoms (fractional coordinates):
Be (0.667, 0.333, 0.001)
Be (0.333, 0.667, 0.999)
Mg (0.000, 0.000, 0.855)
Mg (0.000, 0.000, 0.145)
Tl (0.333, 0.667, 0.626)
Tl (0.667, 0.333, 0.374)



Record 2
A plane-wave DFT calculation with GGA-PBE was carried out for CdAs2P after structural relaxation.

Values from the calculation:
Crystal system ... tetragonal
Offset from the most stable computed form ... 365.2 meV per atom
ΔE_f ... 476 meV/atom
D(E_F) ... 2.2 states/eV/cell
Electronic total energy ... -3.430 eV per atom
V ... 77.2 Å³/cell

Lattice parameters (Å, degrees): 4.750 4.750 4.750 118.64 118.64 92.38
Atoms (fractional coordinates):
As (0.000, 0.000, 0.000)
As (0.250, 0.750, 0.500)
P (0.750, 0.250, 0.500)
Cd (0.500, 0.500, 0.000)



Record 3
A plane-wave DFT calculation with GGA-PBE was carried out for AcGdGa after structural relaxation.

Values from the calculation:
Crystal system ... tetragonal
Offset from the most stable computed form ... 0.0 meV per atom
ΔE_f ... -304 meV/atom
D(E_F) ... 3.3 states/eV/cell
Electronic total energy ... -7.376 eV per atom
V ... 92.8 Å³/cell

Lattice parameters (Å, degrees): 3.829 3.829 6.884 106.15 106.15 90.00
Site moments in Bohr magnetons follow the coordinates.
Atoms (fractional coordinates):
Ac (0.018, 0.018, 0.036)  0.08
Gd (0.301, 0.301, 0.603)  7.22
Ga (0.681, 0.681, 0.361)  -0.02



Record 4
A plane-wave DFT calculation with GGA-PBE was carried out for LiBe3Cr after structural relaxation.

Values from the calculation:
Crystal system ... cubic
Offset from the most stable computed form ... 285.0 meV per atom
ΔE_f ... 1137 meV/atom
D(E_F) ... 3.6 states/eV/cell
Electronic total energy ... -3.406 eV per atom
V ... 81.7 Å³/cell

Lattice parameters (Å, degrees): 4.339 4.339 4.339 90.00 90.00 90.00
Site moments in Bohr magnetons follow the coordinates.
Atoms (fractional coordinates):
Be (0.000, 0.000, 0.500)  0.01
Be (0.000, 0.500, 0.000)  0.09
Be (0.500, 0.000, 0.000)  0.08
Li (0.500, 0.500, 0.500)  -0.01
Cr (0.000, 0.000, 0.000)  2.59



Record 5
A plane-wave DFT calculation with GGA-PBE was carried out for LaGaPtRh after structural relaxation.

Values from the calculation:
Crystal system ... orthorhombic
ΔE_f ... -678 meV/atom
D(E_F) ... 1.8 states/eV/cell
Electronic total energy ... -6.014 eV per atom
V ... 89.3 Å³/cell

Lattice parameters (Å, degrees): 4.125 3.943 6.190 108.58 109.46 90.00
Atoms (fractional coordinates):
La (0.959, 0.959, 0.918)
Ga (0.216, 0.716, 0.432)
Rh (0.350, 0.350, 0.700)
Pt (0.590, 0.590, 0.180)



Record 6
A plane-wave DFT calculation with GGA-PBE was carried out for K4Mg3 after structural relaxation.

Values from the calculation:
Crystal system ... tetragonal
Offset from the most stable computed form ... 0.0 meV per atom
ΔE_f ... 160 meV/atom
D(E_F) ... 4.3 states/eV/cell
Electronic total energy ... -1.151 eV per atom
V ... 329.7 Å³/cell

Lattice parameters (Å, degrees): 19.765 19.765 19.765 168.07 168.07 16.90
Atoms (fractional coordinates):
K (0.833, 0.833, 0.000)
K (0.565, 0.565, 0.000)
K (0.167, 0.167, 0.000)
K (0.435, 0.435, 0.000)
Mg (0.000, 0.000, 0.000)
Mg (0.734, 0.734, 0.000)
Mg (0.266, 0.266, 0.000)



Record 7
A plane-wave DFT calculation with GGA-PBE was carried out for Ti2Tl2Pd after structural relaxation.

Values from the calculation:
Crystal system ... tetragonal
ΔE_f ... 138 meV/atom
D(E_F) ... 7.6 states/eV/cell
Electronic total energy ... -5.006 eV per atom
V ... 208.7 Å³/cell

Lattice parameters (Å, degrees): 6.701 6.701 4.648 90.00 90.00 90.00
Site moments in Bohr magnetons follow the coordinates.
Atoms (fractional coordinates):
Ti (0.358, 0.858, 0.000)  0.56
Ti (0.858, 0.642, 0.000)  0.52
Ti (0.642, 0.142, 0.000)  0.57
Ti (0.142, 0.358, 0.000)  0.52
Pd (0.500, 0.500, 0.000)  -0.01
Pd (0.000, 0.000, 0.000)  0.00
Tl (0.669, 0.831, 0.500)  -0.01
Tl (0.831, 0.331, 0.500)  -0.01
Tl (0.169, 0.669, 0.500)  -0.01
Tl (0.331, 0.169, 0.500)  -0.01



Record 8
A plane-wave DFT calculation with GGA-PBE was carried out for Pm2Zr2Ni15 after structural relaxation.

Values from the calculation:
Crystal system ... trigonal
ΔE_f ... -260 meV/atom
D(E_F) ... 28.6 states/eV/cell
Electronic total energy ... -6.224 eV per atom
V ... 263.4 Å³/cell

Lattice parameters (Å, degrees): 6.465 6.465 6.465 82.23 82.23 82.23
Site moments in Bohr magnetons follow the coordinates.
Atoms (fractional coordinates):
Ni (0.000, 0.500, 0.000)  0.05
Ni (0.300, 0.700, 0.000)  0.09
Ni (0.000, 0.700, 0.300)  0.09
Ni (0.700, 0.000, 0.300)  0.09
Ni (0.300, 0.000, 0.700)  0.09
Ni (0.841, 0.346, 0.346)  0.06
Ni (0.346, 0.841, 0.346)  0.06
Ni (0.500, 0.000, 0.000)  0.05
Ni (0.159, 0.654, 0.654)  0.06
Ni (0.654, 0.654, 0.159)  0.06
Ni (0.654, 0.159, 0.654)  0.06
Ni (0.700, 0.300, 0.000)  0.09
Ni (0.000, 0.300, 0.700)  0.09
Ni (0.000, 0.000, 0.500)  0.05
Ni (0.346, 0.346, 0.841)  0.06
Zr (0.892, 0.892, 0.892)  -0.01
Zr (0.108, 0.108, 0.108)  -0.01
Pm (0.355, 0.355, 0.355)  -0.01
Pm (0.645, 0.645, 0.645)  -0.01



Record 9
A plane-wave DFT calculation with GGA-PBE was carried out for KCd3Hg3 after structural relaxation.

Values from the calculation:
Crystal system ... monoclinic
Offset from the most stable computed form ... 0.0 meV per atom
ΔE_f ... -111 meV/atom
D(E_F) ... 6.0 states/eV/cell
Electronic total energy ... -0.789 eV per atom
V ... 381.8 Å³/cell

Lattice parameters (Å, degrees): 5.371 7.347 10.761 115.96 90.00 90.00
Atoms (fractional coordinates):
Cd (0.750, 0.276, 0.296)
Cd (0.250, 0.724, 0.704)
Cd (0.750, 0.932, 0.856)
Cd (0.250, 0.190, 0.913)
Cd (0.250, 0.068, 0.144)
Cd (0.750, 0.810, 0.087)
Hg (0.250, 0.044, 0.601)
Hg (0.750, 0.685, 0.541)
Hg (0.250, 0.620, 0.942)
Hg (0.750, 0.956, 0.399)
Hg (0.750, 0.380, 0.058)
Hg (0.250, 0.315, 0.459)
K (0.250, 0.626, 0.279)
K (0.750, 0.374, 0.721)



Record 10
A plane-wave DFT calculation with GGA-PBE was carried out for Al2CuPH after structural relaxation.

Values from the calculation:
Crystal system ... tetragonal
D(E_F) ... 1.3 states/eV/cell
Electronic total energy ... -3.747 eV per atom
V ... 62.6 Å³/cell

Lattice parameters (Å, degrees): 3.939 4.035 3.939 90.00 90.00 90.00
Atoms (fractional coordinates):
H (0.000, 0.000, 0.000)
Al (0.000, 0.000, 0.500)
Al (0.500, 0.000, 0.000)
Cu (0.500, 0.500, 0.500)
P (0.000, 0.500, 0.000)



Record 11
A plane-wave DFT calculation with GGA-PBE was carried out for Ba2AgBO4 after structural relaxation.

Values from the calculation:
Crystal system ... orthorhombic
D(E_F) ... 0.0 states/eV/cell
Formation energy from raw total energies ... -1.785 eV per atom
Electronic total energy ... -5.936 eV per atom
V ... 288.1 Å³/cell

Lattice parameters (Å, degrees): 5.438 5.737 10.833 83.17 75.46 61.71
Atoms (fractional coordinates):
O (0.290, 0.184, 0.920)
O (0.224, 0.316, 0.420)
O (0.790, 0.816, 0.920)
O (0.394, 0.816, 0.080)
O (0.356, 0.684, 0.420)
O (0.526, 0.184, 0.080)
O (0.460, 0.316, 0.580)
O (0.960, 0.684, 0.580)
Ba (0.564, 0.500, 0.872)
Ba (0.814, 0.000, 0.372)
Ba (0.186, 0.000, 0.628)
Ba (0.936, 0.500, 0.128)
Ag (0.750, 0.500, 0.500)
Ag (0.000, 0.000, 0.000)
B (0.250, 0.500, 0.500)
B (0.500, 0.000, 0.000)



Record 12
A plane-wave DFT calculation with GGA-PBE was carried out for NaSbOF2 after structural relaxation.

Values from the calculation:
Crystal system ... tetragonal
Offset from the most stable computed form ... 574.4 meV per atom
D(E_F) ... 0.0 states/eV/cell
Formation energy from raw total energies ... -1.251 eV per atom
Electronic total energy ... -4.079 eV per atom
V ... 66.0 Å³/cell

Lattice parameters (Å, degrees): 3.880 3.880 4.381 90.00 90.00 90.00
Atoms (fractional coordinates):
O (0.000, 0.000, 0.500)
Sb (0.500, 0.500, 0.500)
F (0.000, 0.500, 0.000)
F (0.500, 0.000, 0.000)
Na (0.000, 0.000, 0.000)